[1]
{"formula": "Y3Tm2PuSe6", "functional": "PBE-GGA", "state": "optimized geometry", "e_form_raw_ev_per_atom": -1.714, "e_tot_ev_per_atom": -7.012, "magmom_total_mub_per_atom": 0.503, "lattice_angstrom": [[8.885, -2.025, 0.000], [8.885, 2.025, 0.000], [-1.894, 0.000, 7.957]], "species": ["Y", "Y", "Y", "Tm", "Tm", "Pu", "Se", "Se", "Se", "Se", "Se", "Se"], "frac_coords": [[0.000, 0.000, 0.000], [0.336, 0.336, 0.665], [0.664, 0.664, 0.335], [0.337, 0.337, 0.173], [0.663, 0.663, 0.827], [0.000, 0.000, 0.500], [0.169, 0.169, 0.589], [0.170, 0.170, 0.080], [0.499, 0.499, 0.246], [0.501, 0.501, 0.754], [0.830, 0.830, 0.920], [0.831, 0.831, 0.411]]}



[2]
{"formula": "Y2Tm3PuSe6", "functional": "PBE-GGA", "state": "optimized geometry", "e_form_raw_ev_per_atom": -1.698, "e_tot_ev_per_atom": -6.830, "magmom_total_mub_per_atom": 0.506, "lattice_angstrom": [[8.863, -2.018, 0.000], [8.863, 2.018, 0.000], [-1.918, 0.000, 7.936]], "species": ["Y", "Y", "Tm", "Tm", "Tm", "Pu", "Se", "Se", "Se", "Se", "Se", "Se"], "frac_coords": [[0.164, 0.164, 0.328], [0.836, 0.836, 0.672], [0.165, 0.165, 0.836], [0.500, 0.500, 0.500], [0.835, 0.835, 0.164], [0.500, 0.500, 0.000], [0.002, 0.002, 0.743], [0.330, 0.330, 0.919], [0.333, 0.333, 0.413], [0.667, 0.667, 0.587], [0.670, 0.670, 0.081], [0.998, 0.998, 0.257]]}



[3]
{"formula": "Y3Tm3PuSe8", "functional": "PBE-GGA", "state": "optimized geometry", "e_form_raw_ev_per_atom": -1.759, "e_tot_ev_per_atom": -6.760, "magmom_total_mub_per_atom": 0.418, "lattice_angstrom": [[4.045, 2.335, 6.617], [-4.045, 2.335, 6.617], [0.000, -4.671, 6.617]], "species": ["Y", "Y", "Y", "Tm", "Tm", "Tm", "Pu", "Se", "Se", "Se", "Se", "Se", "Se", "Se", "Se"], "frac_coords": [[0.000, 0.500, 0.500], [0.500, 0.000, 0.500], [0.500, 0.500, 0.000], [0.000, 0.000, 0.500], [0.000, 0.500, 0.000], [0.500, 0.000, 0.000], [0.500, 0.500, 0.500], [0.238, 0.757, 0.757], [0.243, 0.243, 0.762], [0.243, 0.762, 0.243], [0.248, 0.248, 0.248], [0.752, 0.752, 0.752], [0.757, 0.238, 0.757], [0.757, 0.757, 0.238], [0.762, 0.243, 0.243]]}



[4]
{"formula": "Y2TmPuSe4", "functional": "PBE-GGA", "state": "optimized geometry", "e_form_raw_ev_per_atom": -1.703, "e_tot_ev_per_atom": -7.411, "magmom_total_mub_per_atom": 0.741, "lattice_angstrom": [[7.078, 0.000, 0.000], [0.000, 4.065, 0.000], [-2.322, 0.000, 6.689]], "species": ["Y", "Y", "Tm", "Pu", "Se", "Se", "Se", "Se"], "frac_coords": [[0.000, 0.000, 0.000], [0.000, 0.500, 0.500], [0.500, 0.000, 0.500], [0.500, 0.500, 0.000], [0.249, 0.000, 0.745], [0.253, 0.500, 0.256], [0.747, 0.500, 0.744], [0.751, 0.000, 0.255]]}



[5]
{"formula": "YTm2PuSe4", "functional": "PBE-GGA", "state": "optimized geometry", "e_form_raw_ev_per_atom": -1.681, "e_tot_ev_per_atom": -7.141, "magmom_total_mub_per_atom": 0.747, "lattice_angstrom": [[7.042, 0.000, 0.000], [0.000, 4.043, 0.000], [-2.309, 0.000, 6.670]], "species": ["Y", "Tm", "Tm", "Pu", "Se", "Se", "Se", "Se"], "frac_coords": [[0.000, 0.000, 0.000], [0.000, 0.500, 0.500], [0.500, 0.000, 0.500], [0.500, 0.500, 0.000], [0.245, 0.000, 0.741], [0.251, 0.500, 0.258], [0.749, 0.500, 0.742], [0.755, 0.000, 0.259]]}



[6]
{"formula": "TmPu2ZrSe4", "functional": "PBE-GGA", "state": "optimized geometry", "e_form_raw_ev_per_atom": -1.480, "e_tot_ev_per_atom": -8.433, "magmom_total_mub_per_atom": 1.421, "lattice_angstrom": [[6.976, 0.000, 0.000], [0.000, 4.009, 0.000], [-2.301, 0.000, 6.644]], "species": ["Tm", "Pu", "Pu", "Zr", "Se", "Se", "Se", "Se"], "frac_coords": [[0.000, 0.000, 0.000], [0.000, 0.500, 0.500], [0.500, 0.000, 0.500], [0.500, 0.500, 0.000], [0.249, 0.500, 0.239], [0.257, 0.000, 0.762], [0.743, 0.000, 0.238], [0.751, 0.500, 0.761]]}



[7]
{"formula": "Pu2USe4", "functional": "PBE-GGA", "state": "optimized geometry", "e_form_raw_ev_per_atom": -1.420, "e_tot_ev_per_atom": -9.118, "magmom_total_mub_per_atom": 2.000, "e_above_lowest_polymorph_mev_per_atom": 0, "lattice_angstrom": [[-4.362, 4.362, 4.361], [4.362, -4.362, 4.361], [4.362, 4.362, -4.361]], "species": ["Pu", "Pu", "Pu", "Pu", "U", "U", "Se", "Se", "Se", "Se", "Se", "Se", "Se", "Se"], "frac_coords": [[0.375, 0.001, 0.126], [0.751, 0.625, 0.626], [0.875, 0.249, 0.874], [0.999, 0.125, 0.374], [0.250, 0.750, 0.500], [0.500, 0.500, 0.000], [0.128, 0.026, 0.750], [0.128, 0.526, 0.750], [0.276, 0.378, 0.250], [0.474, 0.224, 0.602], [0.622, 0.872, 0.398], [0.622, 0.872, 0.898], [0.776, 0.378, 0.250], [0.974, 0.724, 0.102]]}



[8]
{"formula": "Pu2USe3", "functional": "PBE-GGA", "state": "optimized geometry", "e_form_raw_ev_per_atom": -1.300, "e_tot_ev_per_atom": -9.701, "magmom_total_mub_per_atom": 1.442, "e_above_lowest_polymorph_mev_per_atom": 0, "lattice_angstrom": [[-2.034, 2.906, 6.233], [2.034, -2.906, 6.233], [2.034, 2.906, -6.233]], "species": ["Pu", "Pu", "U", "Se", "Se", "Se"], "frac_coords": [[0.167, 0.167, 0.000], [0.833, 0.833, 0.000], [0.500, 0.500, 0.000], [0.000, 0.500, 0.500], [0.334, 0.834, 0.500], [0.666, 0.166, 0.500]]}



[9]
{"formula": "PuUSe", "functional": "PBE-GGA", "state": "optimized geometry", "e_form_raw_ev_per_atom": -0.476, "e_tot_ev_per_atom": -10.178, "magmom_total_mub_per_atom": 1.625, "e_above_lowest_polymorph_mev_per_atom": 391, "lattice_angstrom": [[-1.928, 1.928, 4.294], [1.928, -1.928, 4.294], [1.928, 1.928, -4.294]], "species": ["Pu", "U", "Se"], "frac_coords": [[0.000, 0.000, 0.000], [0.286, 0.286, 0.000], [0.643, 0.643, 0.000]]}



[10]
{"formula": "Pu2USe", "functional": "PBE-GGA", "state": "optimized geometry", "e_form_raw_ev_per_atom": -0.305, "e_tot_ev_per_atom": -11.164, "magmom_total_mub_per_atom": 2.456, "e_above_lowest_polymorph_mev_per_atom": 29, "lattice_angstrom": [[3.699, 0.000, 0.000], [0.000, 3.699, 0.000], [0.000, 0.000, 6.194]], "species": ["Pu", "Pu", "U", "Se"], "frac_coords": [[0.000, 0.000, 0.250], [0.000, 0.000, 0.750], [0.500, 0.500, 0.000], [0.500, 0.500, 0.500]]}